No. 1
Compound: BaLaW2
Source: Alexandria via LeMat-Bulk
Functional: GGA-PBE
Structure: optimized geometry

Unit cell a=2.9408 b=2.9408 c=11.1251 alpha=90.00 beta=90.00 gamma=90.00
Element x y z (fractional)
1 Ba 0.5000 0.5000 0.2500
2 W 0.0000 0.0000 0.9859
3 W 0.0000 0.0000 0.5141
4 La 0.5000 0.5000 0.7500

Results
energy relative to the lowest polymorph listed for this composition	694	meV per atom
VASP energy	-6.887	eV/atom
ΔE_f	5.21	eV/f.u.



No. 2
Compound: BaLaW2
Source: Alexandria via LeMat-Bulk
Functional: GGA-PBE
Structure: optimized geometry

Unit cell a=5.2878 b=5.2878 c=5.2878 alpha=60.00 beta=60.00 gamma=60.00
Site moments in Bohr magnetons follow the coordinates.
Element x y z (fractional)
1 Ba 0.0000 0.0000 0.0000  0.09
2 W 0.2500 0.2500 0.2500  1.38
3 W 0.7500 0.7500 0.7500  1.38
4 La 0.5000 0.5000 0.5000  0.11

Results
energy relative to the lowest polymorph listed for this composition	1078	meV per atom
VASP energy	-6.503	eV/atom
ΔE_f	6.75	eV/f.u.



No. 3
Compound: BaLaW
Source: Alexandria via LeMat-Bulk
Functional: GGA-PBE
Structure: optimized geometry

Unit cell a=5.3094 b=5.3094 c=3.4801 alpha=90.00 beta=90.00 gamma=120.00
Element x y z (fractional)
1 Ba 0.0000 0.0000 0.9760
2 W 0.3333 0.6667 0.5838
3 La 0.6667 0.3333 0.4402

Results
energy relative to the lowest polymorph listed for this composition	214	meV per atom
VASP energy	-5.470	eV/atom
ΔE_f	3.39	eV/f.u.



No. 4
Compound: BaLa2W2
Source: Alexandria via LeMat-Bulk
Functional: GGA-PBE
Structure: optimized geometry

Unit cell a=9.1923 b=9.1923 c=3.3320 alpha=90.00 beta=90.00 gamma=90.00
Element x y z (fractional)
1 Ba 0.0000 0.0000 0.0000
2 Ba 0.5000 0.5000 0.0000
3 W 0.0919 0.5919 0.5000
4 W 0.5919 0.9081 0.5000
5 W 0.9081 0.4081 0.5000
6 W 0.4081 0.0919 0.5000
7 La 0.3072 0.8072 0.0000
8 La 0.8072 0.6928 0.0000
9 La 0.6928 0.1928 0.0000
10 La 0.1928 0.3072 0.0000

Results
energy relative to the lowest polymorph listed for this composition	229	meV per atom
VASP energy	-6.698	eV/atom
ΔE_f	4.19	eV/f.u.



No. 5
Compound: BaLaW2
Source: Alexandria via LeMat-Bulk
Functional: GGA-PBE
Structure: optimized geometry

Unit cell a=3.3792 b=3.3792 c=9.7310 alpha=90.00 beta=90.00 gamma=90.00
Element x y z (fractional)
1 Ba 0.0000 0.0000 0.4428
2 W 0.0000 0.0000 0.0554
3 W 0.5000 0.5000 0.1753
4 La 0.5000 0.5000 0.8265

Results
energy relative to the lowest polymorph listed for this composition	0	meV per atom
VASP energy	-7.581	eV/atom
ΔE_f	2.43	eV/f.u.



No. 6
Compound: BaLaW2
Source: Alexandria via LeMat-Bulk
Functional: GGA-PBE
Structure: optimized geometry

Unit cell a=5.2622 b=5.2622 c=3.7482 alpha=90.00 beta=90.00 gamma=90.00
Site moments in Bohr magnetons follow the coordinates.
Element x y z (fractional)
1 Ba 0.5000 0.0000 0.5000  0.11
2 W 0.0000 0.0000 0.0000  1.31
3 W 0.5000 0.5000 0.0000  1.31
4 La 0.0000 0.5000 0.5000  0.09

Results
energy relative to the lowest polymorph listed for this composition	1082	meV per atom
VASP energy	-6.499	eV/atom
ΔE_f	6.76	eV/f.u.



No. 7
Compound: BaLaW
Source: Alexandria via LeMat-Bulk
Functional: GGA-PBE
Structure: optimized geometry

Unit cell a=8.0128 b=8.0128 c=8.0128 alpha=155.98 beta=152.40 gamma=36.91
Element x y z (fractional)
1 Ba 0.9695 0.9695 0.0000
2 W 0.3228 0.3228 0.0000
3 La 0.7078 0.7078 0.0000

Results
energy relative to the lowest polymorph listed for this composition	0	meV per atom
VASP energy	-5.684	eV/atom
ΔE_f	2.75	eV/f.u.



No. 8
Compound: BaLaW2
Source: Alexandria via LeMat-Bulk
Functional: GGA-PBE
Structure: optimized geometry

Unit cell a=6.8800 b=6.8800 c=6.8800 alpha=149.20 beta=135.13 gamma=55.41
Element x y z (fractional)
1 Ba 0.5265 0.5265 0.0000
2 W 0.9283 0.9283 0.0000
3 W 0.7924 0.2924 0.5000
4 La 0.2528 0.7528 0.5000

Results
energy relative to the lowest polymorph listed for this composition	216	meV per atom
VASP energy	-7.365	eV/atom
ΔE_f	3.30	eV/f.u.



No. 9
Compound: BaLaW2
Source: Alexandria via LeMat-Bulk
Functional: GGA-PBE
Structure: optimized geometry

Unit cell a=6.2778 b=6.5756 c=2.9347 alpha=63.37 beta=90.06 gamma=114.77
Element x y z (fractional)
1 Ba 0.5000 0.5000 0.0000
2 W 0.0000 0.0000 0.0000
3 W 0.0000 0.5000 0.5000
4 La 0.5000 0.0000 0.5000

Results
energy relative to the lowest polymorph listed for this composition	750	meV per atom
VASP energy	-6.831	eV/atom
ΔE_f	5.43	eV/f.u.



No. 10
Compound: BaLaW2
Source: Alexandria via LeMat-Bulk
Functional: GGA-PBE
Structure: optimized geometry

Unit cell a=5.7969 b=5.7969 c=7.0300 alpha=63.73 beta=63.73 gamma=38.93
Element x y z (fractional)
1 Ba 0.2500 0.2500 0.2500
2 W 0.0019 0.0019 0.8603
3 W 0.4981 0.4981 0.6397
4 La 0.7500 0.7500 0.7500

Results
energy relative to the lowest polymorph listed for this composition	353	meV per atom
VASP energy	-7.228	eV/atom
ΔE_f	3.84	eV/f.u.



No. 11
Compound: BaLa2W2
Source: Alexandria via LeMat-Bulk
Functional: GGA-PBE
Structure: optimized geometry

Unit cell a=3.7533 b=3.7533 c=12.1848 alpha=81.14 beta=81.14 gamma=90.00
Element x y z (fractional)
1 Ba 0.0000 0.0000 0.0000
2 W 0.7500 0.2500 0.5000
3 W 0.2500 0.7500 0.5000
4 La 0.3578 0.3578 0.2844
5 La 0.6422 0.6422 0.7156

Results
energy relative to the lowest polymorph listed for this composition	0	meV per atom
VASP energy	-6.927	eV/atom
ΔE_f	3.05	eV/f.u.



No. 12
Compound: BaLa2W2
Source: Alexandria via LeMat-Bulk
Functional: GGA-PBE
Structure: optimized geometry

Unit cell a=8.4158 b=8.4158 c=4.3874 alpha=90.00 beta=90.00 gamma=90.00
Element x y z (fractional)
1 Ba 0.0000 0.0000 0.0000
2 Ba 0.5000 0.5000 0.0000
3 W 0.4017 0.9017 0.0000
4 W 0.9017 0.5983 0.0000
5 W 0.5983 0.0983 0.0000
6 W 0.0983 0.4017 0.0000
7 La 0.1652 0.6652 0.5000
8 La 0.6652 0.8348 0.5000
9 La 0.8348 0.3348 0.5000
10 La 0.3348 0.1652 0.5000

Results
energy relative to the lowest polymorph listed for this composition	187	meV per atom
VASP energy	-6.740	eV/atom
ΔE_f	3.98	eV/f.u.



No. 13
Compound: BaLa2W2
Source: Alexandria via LeMat-Bulk
Functional: GGA-PBE
Structure: optimized geometry

Unit cell a=5.0223 b=5.0223 c=7.0219 alpha=69.05 beta=69.05 gamma=90.00
Element x y z (fractional)
1 Ba 0.0000 0.0000 0.0000
2 W 0.4033 0.4033 0.1934
3 W 0.5967 0.5967 0.8066
4 La 0.7500 0.2500 0.5000
5 La 0.2500 0.7500 0.5000

Results
energy relative to the lowest polymorph listed for this composition	321	meV per atom
VASP energy	-6.607	eV/atom
ΔE_f	4.65	eV/f.u.



No. 14
Compound: BaLa2ZnW
Source: Alexandria via LeMat-Bulk
Functional: GGA-PBE
Structure: optimized geometry

Unit cell a=5.7434 b=5.0409 c=5.7434 alpha=90.00 beta=90.00 gamma=90.00
Site moments in Bohr magnetons follow the coordinates.
Element x y z (fractional)
1 Zn 0.0000 0.0000 0.0000  0.00
2 Ba 0.5000 0.5000 0.5000  -0.02
3 W 0.0000 0.5000 0.0000  1.36
4 La 0.0000 0.0000 0.5000  -0.05
5 La 0.5000 0.0000 0.0000  -0.07

Results
VASP energy	-4.416	eV/atom
ΔE_f	3.92	eV/f.u.



No. 15
Compound: Ba2LaY
Source: Alexandria via LeMat-Bulk
Functional: GGA-PBE
Structure: optimized geometry

Unit cell a=7.0048 b=7.0048 c=7.0048 alpha=133.53 beta=133.53 gamma=67.82
Element x y z (fractional)
1 Ba 0.0000 0.0000 0.0000
2 Ba 0.5000 0.5000 0.0000
3 La 0.2500 0.7500 0.5000
4 Y 0.7500 0.2500 0.5000

Results
energy relative to the lowest polymorph listed for this composition	136	meV per atom
VASP energy	-3.540	eV/atom
ΔE_f	1.08	eV/f.u.



No. 16
Compound: Ba2LaY
Source: Alexandria via LeMat-Bulk
Functional: GGA-PBE
Structure: optimized geometry

Unit cell a=7.7223 b=7.7223 c=7.7223 alpha=148.71 beta=129.02 gamma=61.05
Element x y z (fractional)
1 Ba 0.0216 0.0216 0.0000
2 Ba 0.7410 0.2410 0.5000
3 La 0.4728 0.4728 0.0000
4 Y 0.2646 0.7646 0.5000

Results
energy relative to the lowest polymorph listed for this composition	109	meV per atom
VASP energy	-3.566	eV/atom
ΔE_f	0.97	eV/f.u.



No. 17
Compound: Ba2LaY
Source: Alexandria via LeMat-Bulk
Functional: GGA-PBE
Structure: optimized geometry

Unit cell a=6.7631 b=6.7631 c=6.7631 alpha=130.02 beta=130.02 gamma=73.38
Element x y z (fractional)
1 Ba 0.0000 0.0000 0.0000
2 Ba 0.2500 0.7500 0.5000
3 La 0.5000 0.5000 0.0000
4 Y 0.7500 0.2500 0.5000

Results
energy relative to the lowest polymorph listed for this composition	125	meV per atom
VASP energy	-3.550	eV/atom
ΔE_f	1.04	eV/f.u.



No. 18
Compound: Ba2LaY
Source: Alexandria via LeMat-Bulk
Functional: GGA-PBE
Structure: optimized geometry

Unit cell a=13.3280 b=13.3280 c=13.3280 alpha=17.12 beta=17.12 gamma=17.12
Element x y z (fractional)
1 Ba 0.0074 0.0074 0.0074
2 Ba 0.2449 0.2449 0.2449
3 La 0.4921 0.4921 0.4921
4 Y 0.7556 0.7556 0.7556

Results
energy relative to the lowest polymorph listed for this composition	22	meV per atom
VASP energy	-3.654	eV/atom
ΔE_f	0.62	eV/f.u.



No. 19
Compound: Ba2LaY
Source: Alexandria via LeMat-Bulk
Functional: GGA-PBE
Structure: optimized geometry

Unit cell a=5.8505 b=5.5118 c=5.5118 alpha=90.00 beta=90.00 gamma=90.00
Element x y z (fractional)
1 Ba 0.0000 0.0000 0.0000
2 Ba 0.0000 0.5000 0.5000
3 La 0.5000 0.5000 0.0000
4 Y 0.5000 0.0000 0.5000

Results
energy relative to the lowest polymorph listed for this composition	136	meV per atom
VASP energy	-3.540	eV/atom
ΔE_f	1.08	eV/f.u.



No. 20
Compound: Ba3LaY
Source: Alexandria via LeMat-Bulk
Functional: GGA-PBE
Structure: optimized geometry

Unit cell a=6.4079 b=6.4079 c=6.4079 alpha=90.00 beta=90.00 gamma=90.00
Site moments in Bohr magnetons follow the coordinates.
Element x y z (fractional)
1 Y 0.5000 0.5000 0.5000  -0.14
2 Ba 0.0000 0.5000 0.0000  0.04
3 Ba 0.0000 0.0000 0.5000  0.10
4 Ba 0.5000 0.0000 0.0000  0.00
5 La 0.0000 0.0000 0.0000  0.26

Results
VASP energy	-2.705	eV/atom
ΔE_f	3.64	eV/f.u.